No. 1
# PBE TaAsIr4, relaxed
# Energy relative to the elements ... 248 meV per atom
# Magnetic moment ... 0.000 μB/atom
# DFT total energy ... -50.5 eV per cell
# Volume ... 16.52 Å³ per atom
data_TaAsIr4
_chemical_formula_sum 'Ta1 As1 Ir4'
_symmetry_space_group_name_H-M 'P 1'
_symmetry_Int_Tables_number 1
_cell_length_a 5.1944
_cell_length_b 5.1944
_cell_length_c 5.1944
_cell_angle_alpha 60.00
_cell_angle_beta 60.00
_cell_angle_gamma 60.00
loop_
_symmetry_equiv_pos_as_xyz
'x,y,z'
loop_
_atom_site_label
_atom_site_type_symbol
_atom_site_fract_x
_atom_site_fract_y
_atom_site_fract_z
Ta1 Ta 0.0000 0.0000 0.0000
As1 As 0.7500 0.7500 0.7500
Ir1 Ir 0.3748 0.3748 0.3748
Ir2 Ir 0.3748 0.3748 0.8755
Ir3 Ir 0.3748 0.8755 0.3748
Ir4 Ir 0.8755 0.3748 0.3748


No. 2
# PBE Na3HO2, relaxed
# Magnetic moment ... 0.007 μB/atom
# DFT total energy ... -47.5 eV per cell
# Volume ... 13.85 Å³ per atom
data_Na3HO2
_chemical_formula_sum 'Na6 H2 O4'
_symmetry_space_group_name_H-M 'P 1'
_symmetry_Int_Tables_number 1
_cell_length_a 6.2714
_cell_length_b 6.2714
_cell_length_c 6.2714
_cell_angle_alpha 127.55
_cell_angle_beta 86.39
_cell_angle_gamma 116.97
loop_
_symmetry_equiv_pos_as_xyz
'x,y,z'
loop_
_atom_site_label
_atom_site_type_symbol
_atom_site_fract_x
_atom_site_fract_y
_atom_site_fract_z
Na1 Na 0.0847 0.7500 0.3347
Na2 Na 0.2500 0.2500 0.0000
Na3 Na 0.4153 0.7500 0.6653
Na4 Na 0.5847 0.2500 0.3347
Na5 Na 0.7500 0.7500 0.0000
Na6 Na 0.9153 0.2500 0.6653
H1 H 0.0000 0.5000 0.5000
H2 H 0.5000 0.0000 0.5000
O1 O 0.0614 0.7051 0.7665
O2 O 0.4386 0.2051 0.6437
O3 O 0.5614 0.7949 0.3563
O4 O 0.9386 0.2949 0.2335